Entry from the Alexandria database: a relaxed Cs2HgAsAu crystal (PBE-GGA).

- spin magnetization (μB per formula unit) = 0.0
- E_form (eV/atom) = -0.230

The structure in CIF format:
```
data_Cs2HgAsAu
_chemical_formula_sum 'Cs2 Hg1 As1 Au1'
_space_group_name_H-M_alt 'P 4/m m m'
_space_group_IT_number 123
_space_group_name_Hall '-P 4 2'
_cell_length_a 7.119
_cell_length_b 7.119
_cell_length_c 4.870
_cell_angle_alpha 90.00
_cell_angle_beta 90.00
_cell_angle_gamma 90.00
loop_
_atom_site_label
_atom_site_fract_x
_atom_site_fract_y
_atom_site_fract_z
Cs1 0.000 0.500 0.000
Hg1 0.000 0.000 0.500
As1 0.500 0.500 0.000
Au1 0.500 0.500 0.500
```

Entry from the Alexandria database: a relaxed ScHgGeI2 crystal (PBE-GGA).

- spin magnetization (μB per formula unit) = 2.1
- formation energy without anion corrections (meV/atom) = 90

The structure in CIF format:
```
data_ScHgGeI2
_chemical_formula_sum 'Sc1 Hg1 Ge1 I2'
_space_group_name_H-M_alt 'P 4/m m m'
_space_group_IT_number 123
_space_group_name_Hall '-P 4 2'
_cell_length_a 5.674
_cell_length_b 5.674
_cell_length_c 5.827
_cell_angle_alpha 90.00
_cell_angle_beta 90.00
_cell_angle_gamma 90.00
loop_
_atom_site_label
_atom_site_fract_x
_atom_site_fract_y
_atom_site_fract_z
Sc1 0.000 0.000 0.000
Hg1 0.000 0.000 0.500
Ge1 0.500 0.500 0.500
I1 0.000 0.500 0.000
```

Entry from the Alexandria database: a relaxed EuCrSe2 crystal (PBE-GGA).

- spin magnetization (μB per formula unit) = 2.4
- formation energy without anion corrections (meV/atom) = -704

The structure in CIF format:
```
data_EuCrSe2
_chemical_formula_sum 'Eu3 Cr3 Se6'
_space_group_name_H-M_alt 'R -3 m'
_space_group_IT_number 166
_space_group_name_Hall '-R 3 2"'
_cell_length_a 4.5171
_cell_length_b 4.5171
_cell_length_c 23.6190
_cell_angle_alpha 90.00
_cell_angle_beta 90.00
_cell_angle_gamma 120.00
loop_
_atom_site_label
_atom_site_fract_x
_atom_site_fract_y
_atom_site_fract_z
Eu1 0.0000 0.0000 0.0000
Cr1 0.0000 0.0000 0.5000
Se1 0.0000 0.0000 0.3985
```

Entry from the Alexandria database: a relaxed SnIrS crystal (PBE-GGA).

- spin magnetization (μB per formula unit) = 0.0
- formation energy without anion corrections (meV/atom) = 98

The structure in CIF format:
```
data_SnIrS
_chemical_formula_sum 'Sn2 Ir2 S2'
_space_group_name_H-M_alt 'A m m 2'
_space_group_IT_number 38
_space_group_name_Hall 'A 2 -2'
_cell_length_a 3.039
_cell_length_b 3.558
_cell_length_c 10.701
_cell_angle_alpha 90.00
_cell_angle_beta 90.00
_cell_angle_gamma 90.00
loop_
_atom_site_label
_atom_site_fract_x
_atom_site_fract_y
_atom_site_fract_z
Sn1 0.000 0.000 0.000
Ir1 0.000 0.000 0.290
S1 0.500 0.000 0.726
```

Entry from the Alexandria database: a relaxed AsHIr2O crystal (PBE-GGA).

- spin magnetization (μB per formula unit) = 0.0
- energy (eV/atom) = -5.71

The structure in CIF format:
```
data_AsHIr2O
_chemical_formula_sum 'As1 H1 Ir2 O1'
_space_group_name_H-M_alt 'P 4/m m m'
_space_group_IT_number 123
_space_group_name_Hall '-P 4 2'
_cell_length_a 4.584
_cell_length_b 4.584
_cell_length_c 2.738
_cell_angle_alpha 90.00
_cell_angle_beta 90.00
_cell_angle_gamma 90.00
loop_
_atom_site_label
_atom_site_fract_x
_atom_site_fract_y
_atom_site_fract_z
As1 0.000 0.000 0.000
H1 0.500 0.500 0.000
Ir1 0.000 0.500 0.500
O1 0.500 0.500 0.500
```

Entry from the Alexandria database: a relaxed CaCe2Ni crystal (PBE-GGA).

- spin magnetization (μB per formula unit) = 2.0
- E_form (eV/atom) = 0.109

The structure in CIF format:
```
data_CaCe2Ni
_chemical_formula_sum 'Ca3 Ce6 Ni3'
_space_group_name_H-M_alt 'R -3 m'
_space_group_IT_number 166
_space_group_name_Hall '-R 3 2"'
_cell_length_a 3.6316
_cell_length_b 3.6316
_cell_length_c 31.5897
_cell_angle_alpha 90.00
_cell_angle_beta 90.00
_cell_angle_gamma 120.00
loop_
_atom_site_label
_atom_site_fract_x
_atom_site_fract_y
_atom_site_fract_z
Ca1 0.0000 0.0000 0.0000
Ce1 0.0000 0.0000 0.1110
Ni1 0.0000 0.0000 0.5000
```

Entry from the Alexandria database: a relaxed CdOs2Rh crystal (PBE-GGA).

- spin magnetization (μB per formula unit) = 0.0
- E_form (eV/atom) = 0.620

The structure in CIF format:
```
data_CdOs2Rh
_chemical_formula_sum 'Cd2 Os4 Rh2'
_space_group_name_H-M_alt 'C m m m'
_space_group_IT_number 65
_space_group_name_Hall '-C 2 2'
_cell_length_a 2.767
_cell_length_b 4.728
_cell_length_c 9.643
_cell_angle_alpha 90.00
_cell_angle_beta 90.00
_cell_angle_gamma 90.00
loop_
_atom_site_label
_atom_site_fract_x
_atom_site_fract_y
_atom_site_fract_z
Cd1 0.000 0.000 0.000
Os1 0.000 0.500 0.263
Rh1 0.000 0.000 0.500
```

Entry from the Alexandria database: a relaxed PmGa3Hg3 crystal (PBE-GGA).

- spin magnetization (μB per formula unit) = 0.0
- E_form (eV/atom) = 0.214

The structure in CIF format:
```
data_PmGa3Hg3
_chemical_formula_sum 'Pm2 Ga6 Hg6'
_space_group_name_H-M_alt 'P m -3 n'
_space_group_IT_number 223
_space_group_name_Hall '-P 4n 2 3'
_cell_length_a 7.349
_cell_length_b 7.349
_cell_length_c 7.349
_cell_angle_alpha 90.00
_cell_angle_beta 90.00
_cell_angle_gamma 90.00
loop_
_atom_site_label
_atom_site_fract_x
_atom_site_fract_y
_atom_site_fract_z
Pm1 0.000 0.000 0.000
Ga1 0.000 0.250 0.500
Hg1 0.000 0.500 0.250
```

Entry from the Alexandria database: a relaxed Tl4Hg2OF crystal (PBE-GGA).

- spin magnetization (μB per formula unit) = 0.0
- formation energy without anion corrections (meV/atom) = -612

The structure in CIF format:
```
data_Tl4Hg2OF
_chemical_formula_sum 'Tl4 Hg2 O1 F1'
_space_group_name_H-M_alt 'P 1 2/m 1'
_space_group_IT_number 10
_space_group_name_Hall '-P 2y'
_cell_length_a 6.454
_cell_length_b 3.638
_cell_length_c 9.259
_cell_angle_alpha 90.00
_cell_angle_beta 102.91
_cell_angle_gamma 90.00
loop_
_atom_site_label
_atom_site_fract_x
_atom_site_fract_y
_atom_site_fract_z
Tl1 0.213 0.000 0.172
Tl2 0.253 0.500 0.812
Hg1 0.000 0.000 0.500
Hg2 0.500 0.500 0.500
O1 0.000 0.500 0.000
F1 0.500 0.000 0.000
```

Entry from the Alexandria database: a relaxed CdAgSnPd crystal (PBE-GGA).

- spin magnetization (μB per formula unit) = 0.0
- E_form (eV/atom) = -0.194

The structure in CIF format:
```
data_CdAgSnPd
_chemical_formula_sum 'Cd4 Ag4 Sn4 Pd4'
_space_group_name_H-M_alt 'F -4 3 m'
_space_group_IT_number 216
_space_group_name_Hall 'F -4 2 3'
_cell_length_a 6.741
_cell_length_b 6.741
_cell_length_c 6.741
_cell_angle_alpha 90.00
_cell_angle_beta 90.00
_cell_angle_gamma 90.00
loop_
_atom_site_label
_atom_site_fract_x
_atom_site_fract_y
_atom_site_fract_z
Cd1 0.000 0.000 0.000
Ag1 0.250 0.250 0.250
Sn1 0.000 0.000 0.500
Pd1 0.250 0.250 0.750
```

Entry from the Alexandria database: a relaxed Ac2TbBi3Rh4 crystal (PBE-GGA).

- spin magnetization (μB per formula unit) = 0.1
- E_form (eV/atom) = -0.623

The structure in CIF format:
```
data_Ac2TbBi3Rh4
_chemical_formula_sum 'Ac2 Tb1 Bi3 Rh4'
_space_group_name_H-M_alt 'P -4 m 2'
_space_group_IT_number 115
_space_group_name_Hall 'P -4 -2'
_cell_length_a 4.646
_cell_length_b 4.646
_cell_length_c 11.529
_cell_angle_alpha 90.00
_cell_angle_beta 90.00
_cell_angle_gamma 90.00
loop_
_atom_site_label
_atom_site_fract_x
_atom_site_fract_y
_atom_site_fract_z
Ac1 0.000 0.500 0.232
Tb1 0.000 0.000 0.500
Bi1 0.000 0.500 0.874
Bi2 0.500 0.500 0.500
Rh1 0.000 0.000 0.000
Rh2 0.000 0.500 0.641
Rh3 0.500 0.500 0.000
```

Entry from the Alexandria database: a relaxed Zr3Ti4Sb4 crystal (PBE-GGA).

- spin magnetization (μB per formula unit) = 0.0
- formation energy without anion corrections (meV/atom) = -502

The structure in CIF format:
```
data_Zr3Ti4Sb4
_chemical_formula_sum 'Zr6 Ti8 Sb8'
_space_group_name_H-M_alt 'I m m m'
_space_group_IT_number 71
_space_group_name_Hall '-I 2 2'
_cell_length_a 3.815
_cell_length_b 8.342
_cell_length_c 14.625
_cell_angle_alpha 90.00
_cell_angle_beta 90.00
_cell_angle_gamma 90.00
loop_
_atom_site_label
_atom_site_fract_x
_atom_site_fract_y
_atom_site_fract_z
Zr1 0.000 0.000 0.000
Zr2 0.000 0.500 0.115
Ti1 0.000 0.290 0.322
Sb1 0.000 0.000 0.225
Sb2 0.000 0.204 0.500
```

Question: What is the spin magnetization in the seventh record?
Answer: 0.0 μB per formula unit

What did the seventh record say?
Entry from the Alexandria database: a relaxed CdOs2Rh crystal (PBE-GGA).

- spin magnetization (μB per formula unit) = 0.0
- E_form (eV/atom) = 0.620

The structure in CIF format:
```
data_CdOs2Rh
_chemical_formula_sum 'Cd2 Os4 Rh2'
_space_group_name_H-M_alt 'C m m m'
_space_group_IT_number 65
_space_group_name_Hall '-C 2 2'
_cell_length_a 2.767
_cell_length_b 4.728
_cell_length_c 9.643
_cell_angle_alpha 90.00
_cell_angle_beta 90.00
_cell_angle_gamma 90.00
loop_
_atom_site_label
_atom_site_fract_x
_atom_site_fract_y
_atom_site_fract_z
Cd1 0.000 0.000 0.000
Os1 0.000 0.500 0.263
Rh1 0.000 0.000 0.500
```